The following is a DFT calculation (PBEsol) of a relaxed CuTeCl2 crystal.

Unit cell a=3.1516 b=5.6313 c=5.6313 alpha=74.54 beta=73.75 gamma=73.75
Last column: nearest neighbours and their distance in Å.
Atoms (fractional coordinates):
Te  0.0000  0.5000  0.5000  4 Cl 3.00, 2 Te 3.15
Cu  0.5000  0.0000  0.0000  4 Cl 2.28
Cl  0.1958  0.8042  0.8042  2 Cu 2.28
Cl  0.8042  0.1958  0.1958  2 Cu 2.28

Computed properties:
As for the magnetization: 0.000 μB/cell. For the formation energy (no corrections), the calculation gives -84 meV/atom. The excess energy over the best structure of this formula in the dataset comes out at 114 meV per atom. The value obtained for the uncorrected energy is -12.21 eV for the cell shown. Its space group is Immm.

***

The following is a DFT calculation (PBEsol) of a relaxed CuTeCl2 crystal.

Unit cell a=4.1936 b=4.4354 c=4.4354 alpha=93.96 beta=90.00 gamma=90.00
Last column: nearest neighbours and their distance in Å.
Atoms (fractional coordinates):
Te  0.5000  0.0000  0.0000  4 Cl 2.73, 2 Cu 3.03
Cu  0.5000  0.5000  0.5000  4 Cl 2.57
Cl  0.0000  0.7303  0.2697  2 Cu 2.57, 2 Te 2.73
Cl  0.0000  0.2697  0.7303  2 Cu 2.57, 2 Te 2.73

Computed properties:
As for the magnetization: 0.000 μB/cell. For the formation energy (no corrections), the calculation gives 32 meV/atom. The excess energy over the best structure of this formula in the dataset comes out at 230 meV per atom. The value obtained for the uncorrected energy is -11.75 eV for the cell shown. Its space group is Cmmm.

***

The following is a DFT calculation (PBEsol) of a relaxed CuTeCl2 crystal.

Unit cell a=3.5655 b=3.5655 c=8.1540 alpha=77.37 beta=77.37 gamma=60.00
Last column: nearest neighbours and their distance in Å.
Atoms (fractional coordinates):
Te  0.2357  0.2357  0.2930  3 Cu 2.68, 3 Cl 2.90
Cu  0.4967  0.4967  0.5099  3 Cl 2.39
Cl  0.9885  0.9885  0.0344  3 Te 2.90
Cl  0.7791  0.7791  0.6628  3 Cu 2.39

Computed properties:
As for the magnetization: 0.000 μB/cell. For the formation energy (no corrections), the calculation gives -198 meV/atom. The excess energy over the best structure of this formula in the dataset comes out at 0 meV per atom. The value obtained for the uncorrected energy is -12.67 eV for the cell shown. Its space group is R3m.

***

The following is a DFT calculation (PBEsol) of a relaxed TlCu2Cl crystal.

Unit cell a=3.2179 b=4.9449 c=5.7429 alpha=88.42 beta=73.73 gamma=71.01
Last column: nearest neighbours and their distance in Å.
Atoms (fractional coordinates):
Cl  0.0000  0.5000  0.5000  4 Cu 2.47
Cu  0.3094  0.5402  0.8409  2 Cu 2.43, 2 Cl 2.47
Cu  0.6906  0.4598  0.1591  2 Cu 2.43, 2 Cl 2.47
Tl  0.5000  0.0000  0.0000  6 Cu 2.73-2.78

Computed properties:
As for the magnetization: 0.000 μB/cell. For the formation energy (no corrections), the calculation gives 48 meV/atom. The excess energy over the best structure of this formula in the dataset comes out at 7 meV per atom. The value obtained for the uncorrected energy is -13.11 eV for the cell shown. Its space group is C2/m.

***

The following is a DFT calculation (PBEsol) of a relaxed TlCuCl2 crystal.

Unit cell a=3.8369 b=4.7214 c=6.0904 alpha=112.78 beta=90.00 gamma=90.00
Last column: nearest neighbours and their distance in Å.
Atoms (fractional coordinates):
Tl  0.5000  0.3216  0.7659  5 Cl 3.08-3.14, 4 Cu 3.34-3.37
Cu  0.0000  0.6919  0.5144  3 Cl 2.20-2.22
Cl  0.0000  0.8916  0.9059  1 Cu 2.20
Cl  0.5000  0.5948  0.3138  2 Cu 2.22

Computed properties:
As for the magnetization: 0.000 μB/cell. For the formation energy (no corrections), the calculation gives -622 meV/atom. The excess energy over the best structure of this formula in the dataset comes out at 24 meV per atom. The value obtained for the uncorrected energy is -13.47 eV for the cell shown. Its space group is Pm.

***

The following is a DFT calculation (PBEsol) of a relaxed TlCuCl2 crystal.

Unit cell a=4.9291 b=4.9291 c=4.9291 alpha=60.00 beta=60.00 gamma=60.00
Last column: nearest neighbours and their distance in Å.
Atoms (fractional coordinates):
Tl  0.0000  0.0000  0.0000  8 Cl 3.02
Cu  0.5000  0.5000  0.5000  8 Cl 3.02
Cl  0.2500  0.2500  0.2500  4 Tl 3.02, 4 Cu 3.02
Cl  0.7500  0.7500  0.7500  4 Tl 3.02, 4 Cu 3.02

Computed properties:
As for the magnetization: 0.001 μB/cell. For the formation energy (no corrections), the calculation gives -208 meV/atom. The excess energy over the best structure of this formula in the dataset comes out at 438 meV per atom. The value obtained for the uncorrected energy is -11.81 eV for the cell shown. Its space group is Fm-3m.

***

The following is a DFT calculation (PBEsol) of a relaxed TlCu2Cl crystal.

Unit cell a=4.7403 b=4.7403 c=4.7403 alpha=60.00 beta=60.00 gamma=60.00
Last column: nearest neighbours and their distance in Å.
Atoms (fractional coordinates):
Cl  0.5000  0.5000  0.5000  4 Tl 2.90, 4 Cu 2.90
Cu  0.0000  0.0000  0.0000  4 Tl 2.90, 4 Cu 2.90
Cu  0.2500  0.2500  0.2500  4 Cl 2.90, 4 Cu 2.90
Tl  0.7500  0.7500  0.7500  4 Cl 2.90, 4 Cu 2.90

Computed properties:
As for the magnetization: 0.000 μB/cell. For the formation energy (no corrections), the calculation gives 484 meV/atom. The excess energy over the best structure of this formula in the dataset comes out at 444 meV per atom. The value obtained for the uncorrected energy is -11.37 eV for the cell shown. Its space group is F-43m.

***

The following is a DFT calculation (PBEsol) of a relaxed TlCu2Cl crystal.

Unit cell a=3.2873 b=4.3404 c=6.0900 alpha=90.04 beta=105.66 gamma=90.00
Last column: nearest neighbours and their distance in Å.
Atoms (fractional coordinates):
Cl  0.6995  0.0005  0.3990  2 Cu 2.28
Cu  0.9869  0.9999  0.9739  2 Cu 2.43, 2 Tl 2.72
Cu  0.3341  0.9997  0.6682  2 Cl 2.28, 2 Cu 2.43
Tl  0.4795  0.5000  0.9590  6 Cu 2.72-2.76

Computed properties:
As for the magnetization: 0.000 μB/cell. For the formation energy (no corrections), the calculation gives 41 meV/atom. The excess energy over the best structure of this formula in the dataset comes out at 0 meV per atom. The value obtained for the uncorrected energy is -13.14 eV for the cell shown. Its space group is Amm2.

***

Which of these has the highest excess energy over the best structure of this formula in the dataset? number 7

***

The lowest formation energy (no corrections) belongs to which entry? number 5

***

magnetization of number 6 (TlCuCl2)? 0.001 μB/cell

***

Copy entry 8 word for word.
The following is a DFT calculation (PBEsol) of a relaxed TlCu2Cl crystal.

Unit cell a=3.2873 b=4.3404 c=6.0900 alpha=90.04 beta=105.66 gamma=90.00
Last column: nearest neighbours and their distance in Å.
Atoms (fractional coordinates):
Cl  0.6995  0.0005  0.3990  2 Cu 2.28
Cu  0.9869  0.9999  0.9739  2 Cu 2.43, 2 Tl 2.72
Cu  0.3341  0.9997  0.6682  2 Cl 2.28, 2 Cu 2.43
Tl  0.4795  0.5000  0.9590  6 Cu 2.72-2.76

Computed properties:
As for the magnetization: 0.000 μB/cell. For the formation energy (no corrections), the calculation gives 41 meV/atom. The excess energy over the best structure of this formula in the dataset comes out at 0 meV per atom. The value obtained for the uncorrected energy is -13.14 eV for the cell shown. Its space group is Amm2.